First-principles (GGA-PBE) data for Li2CeSn after structural relaxation, as listed in Alexandria.

formation enthalpy at 0 K: -0.370 eV per atom
VASP energy: -3.811 eV/atom

a b c (Å): 6.9138 6.9138 6.9138
angles (deg): 90.00 90.00 90.00
Space group Fm-3m (No. 225)
One atom of each set of equivalent atoms:
Li 0.2500 0.2500 0.2500 [8 per cell]
Ce 0.0000 0.0000 0.0000 [4 per cell]
Sn 0.0000 0.0000 0.5000 [4 per cell]


First-principles (GGA-PBE) data for Cs3Rb4Bi4 after structural relaxation, as listed in Alexandria.

formation enthalpy at 0 K: -0.267 eV per atom
VASP energy: -2.263 eV/atom

a b c (Å): 6.3321 9.4713 20.6642
angles (deg): 90.00 90.00 90.00
Space group Immm (No. 71)
One atom of each set of equivalent atoms:
Cs 0.0000 0.0000 0.0000 [2 per cell]
Cs 0.0000 0.5000 0.1150 [4 per cell]
Rb 0.0000 0.2847 0.3243 [8 per cell]
Bi 0.0000 0.0000 0.1967 [4 per cell]
Bi 0.0000 0.1535 0.5000 [4 per cell]